(1)
12
Lattice="-0.815 0.364 -3.871 -0.119 -8.496 -0.775 -10.174 3.367 2.458" Properties=species:S:1:pos:R:3 comment="KScInSe3 GGA-PBE optimized geometry" n_ef_per_ev_fu=2.0 total_magnetization_mub_per_fu=0.00 vol_a3_per_atom=29.5 raw_formation_energy_ev_per_atom=-1.1918 pbc="T T T"
In -6.139 0.882 0.356
K -2.815 -0.895 -0.511
Se -4.384 -4.025 -0.475
Se -6.723 -0.740 -1.712
Se -9.339 -1.925 0.765
Sc -1.733 -4.829 -1.109
Sc -9.374 0.064 -1.079
In -4.968 -5.647 -2.543
K -8.292 -3.870 -1.677
Se -1.768 -2.840 -2.953
Se -8.550 1.791 0.949
Se -2.557 -6.556 -3.136


(2)
15
Lattice="7.866 -0.001 0.000 -3.934 6.837 -0.031 0.000 -4.532 7.867" Properties=species:S:1:pos:R:3 comment="K3Sc3InSe8 GGA-PBE optimized geometry" n_ef_per_ev_fu=4.7 total_magnetization_mub_per_fu=0.00 vol_a3_per_atom=28.1 raw_formation_energy_ev_per_atom=-1.3455 pbc="T T T"
Sc 3.933 -2.267 3.933
K 0.000 0.000 0.000
Se 5.837 -1.095 2.377
K -1.967 3.418 -0.016
Se 0.000 2.287 2.376
Se 0.000 0.091 5.473
Se 3.933 2.212 2.362
In 0.000 -2.266 3.933
Sc 1.966 1.152 3.917
Sc -1.967 1.152 3.918
Se 2.030 -1.095 2.378
Se 1.902 3.398 5.457
Se 3.933 0.017 5.459
K 1.966 3.418 -0.016
Se -1.904 3.398 5.458